A plane-wave DFT calculation with GGA-PBE was carried out for SrPm3Hg4 after structural relaxation.

The space group is Pmma (No. 51) and the conventional cell measures 10.834, 7.797 and 5.417 Å, with angles of 90.00, 90.00 and 90.00 degrees. The distinct sites, in fractional coordinates, are Sr at (0.000, 0.000, 0.000), Pm at (0.000, 0.500, 0.000), Pm at (0.250, 0.000, 0.499), Pm at (0.250, 0.500, 0.499), Hg at (0.000, 0.259, 0.500) and Hg at (0.250, 0.259, 0.999).

Its magnetic moment is 0.43 μB per formula unit. The volume is 458 Å³ per cell. Its crystal system is orthorhombic. The formation energy from the elements comes out at -3.83 eV per formula unit.


A plane-wave DFT calculation with GGA-PBE was carried out for Sr2PmHg after structural relaxation.

The space group is R-3m (No. 166, hexagonal axes) and the conventional cell measures 3.8790, 3.8790 and 36.8809 Å, with angles of 90.00, 90.00 and 120.00 degrees. The distinct sites, in fractional coordinates, are Sr at (0.0000, 0.0000, 0.0998), Pm at (0.0000, 0.0000, 0.0000) and Hg at (0.0000, 0.0000, 0.5000).

Its magnetic moment is 0.53 μB per formula unit. The volume is 481 Å³ per cell. Its crystal system is trigonal. The formation energy from the elements comes out at 0.33 eV per formula unit. The value obtained for the offset from the most stable computed form is 227 meV/atom.


A plane-wave DFT calculation with GGA-PBE was carried out for Sr5PmHg6 after structural relaxation.

The space group is Cmmm (No. 65) and the conventional cell measures 5.585, 16.779 and 7.992 Å, with angles of 90.00, 90.00 and 90.00 degrees. The distinct sites, in fractional coordinates, are Sr at (0.000, 0.000, 0.000), Sr at (0.000, 0.332, 0.000), Sr at (0.000, 0.333, 0.500), Pm at (0.000, 0.000, 0.500), Hg at (0.000, 0.161, 0.258) and Hg at (0.000, 0.500, 0.264).

Its magnetic moment is 0.00 μB per formula unit. The volume is 749 Å³ per cell. Its crystal system is orthorhombic. The formation energy from the elements comes out at -6.25 eV per formula unit.


A plane-wave DFT calculation with GGA-PBE was carried out for Sr2PmHg8 after structural relaxation.

The space group is C2/m (No. 12) and the conventional cell measures 16.127, 5.296 and 7.570 Å, with angles of 90.00, 111.42 and 90.00 degrees. The distinct sites, in fractional coordinates, are Sr at (0.210, 0.000, 0.154), Pm at (0.000, 0.500, 0.500), Hg at (0.011, 0.000, 0.219), Hg at (0.092, 0.500, 0.949), Hg at (0.149, 0.000, 0.638) and Hg at (0.166, 0.500, 0.384).

Its magnetic moment is 0.00 μB per formula unit. The volume is 602 Å³ per cell. Its crystal system is monoclinic. The formation energy from the elements comes out at -4.26 eV per formula unit.


A plane-wave DFT calculation with GGA-PBE was carried out for SrPm2Hg3 after structural relaxation.

The space group is P4/mmm (No. 123) and the conventional cell measures 3.847, 3.847 and 11.784 Å, with angles of 90.00, 90.00 and 90.00 degrees. The distinct sites, in fractional coordinates, are Sr at (0.000, 0.000, 0.000), Pm at (0.000, 0.000, 0.339), Hg at (0.500, 0.500, 0.185) and Hg at (0.500, 0.500, 0.500).

Its magnetic moment is 0.31 μB per formula unit. The volume is 174 Å³ per cell. Its crystal system is tetragonal. The formation energy from the elements comes out at -2.99 eV per formula unit.


A plane-wave DFT calculation with GGA-PBE was carried out for SrPmHg2 after structural relaxation.

The space group is R3m (No. 160, hexagonal axes) and the conventional cell measures 4.1196, 4.1196 and 27.0898 Å, with angles of 90.00, 90.00 and 120.00 degrees. The distinct sites, in fractional coordinates, are Sr at (0.0000, 0.0000, 0.0000), Pm at (0.0000, 0.0000, 0.8339), Hg at (0.0000, 0.0000, 0.2450) and Hg at (0.0000, 0.0000, 0.4218).

Its magnetic moment is 0.00 μB per formula unit. The volume is 398 Å³ per cell. Its crystal system is trigonal. The formation energy from the elements comes out at -1.42 eV per formula unit.


A plane-wave DFT calculation with GGA-PBE was carried out for SrPm2Hg8 after structural relaxation.

The space group is Immm (No. 71) and the conventional cell measures 5.287, 7.181 and 15.745 Å, with angles of 90.00, 90.00 and 90.00 degrees. The distinct sites, in fractional coordinates, are Sr at (0.000, 0.000, 0.000), Pm at (0.000, 0.000, 0.317), Hg at (0.000, 0.209, 0.500), Hg at (0.000, 0.277, 0.158) and Hg at (0.000, 0.500, 0.342).

Its magnetic moment is 0.00 μB per formula unit. The volume is 598 Å³ per cell. Its crystal system is orthorhombic. The formation energy from the elements comes out at -3.83 eV per formula unit.


A plane-wave DFT calculation with GGA-PBE was carried out for SrPmHg2 after structural relaxation.

The space group is P4/mmm (No. 123) and the conventional cell measures 3.906, 3.906 and 7.813 Å, with angles of 90.00, 90.00 and 90.00 degrees. The distinct sites, in fractional coordinates, are Sr at (0.000, 0.000, 0.000), Pm at (0.000, 0.000, 0.500) and Hg at (0.500, 0.500, 0.274).

Its magnetic moment is 0.00 μB per formula unit. The volume is 119 Å³ per cell. Its crystal system is tetragonal. The formation energy from the elements comes out at -2.02 eV per formula unit.


A plane-wave DFT calculation with GGA-PBE was carried out for Sr2PmHg after structural relaxation.

The space group is R3m (No. 160, hexagonal axes) and the conventional cell measures 4.0215, 4.0215 and 33.6606 Å, with angles of 90.00, 90.00 and 120.00 degrees. The distinct sites, in fractional coordinates, are Sr at (0.0000, 0.0000, 0.0000), Sr at (0.0000, 0.0000, 0.1882), Pm at (0.0000, 0.0000, 0.7600) and Hg at (0.0000, 0.0000, 0.5945).

Its magnetic moment is 0.10 μB per formula unit. The volume is 471 Å³ per cell. Its crystal system is trigonal. The formation energy from the elements comes out at -0.30 eV per formula unit. The value obtained for the offset from the most stable computed form is 68 meV/atom.


A plane-wave DFT calculation with GGA-PBE was carried out for SrPmHg6 after structural relaxation.

The space group is Amm2 (No. 38) and the conventional cell measures 5.200, 6.860 and 11.825 Å, with angles of 90.00, 90.00 and 90.00 degrees. The distinct sites, in fractional coordinates, are Sr at (0.000, 0.000, 0.000), Pm at (0.500, 0.000, 0.672), Hg at (0.000, 0.000, 0.504), Hg at (0.000, 0.247, 0.252), Hg at (0.500, 0.000, 0.177) and Hg at (0.500, 0.234, 0.415).

Its magnetic moment is 0.00 μB per formula unit. The volume is 422 Å³ per cell. Its crystal system is orthorhombic. The formation energy from the elements comes out at -3.11 eV per formula unit.


A plane-wave DFT calculation with GGA-PBE was carried out for Sr2PmHg10 after structural relaxation.

The space group is Pbam (No. 55) and the conventional cell measures 11.290, 11.366 and 6.976 Å, with angles of 90.00, 90.00 and 90.00 degrees. The distinct sites, in fractional coordinates, are Sr at (0.166, 0.108, 0.000), Pm at (0.000, 0.000, 0.500), Hg at (0.028, 0.642, 0.500), Hg at (0.119, 0.823, 0.206), Hg at (0.187, 0.201, 0.500) and Hg at (0.217, 0.460, 0.500).

Its magnetic moment is 0.00 μB per formula unit. The volume is 895 Å³ per cell. Its crystal system is orthorhombic. The formation energy from the elements comes out at -2.30 eV per formula unit.


A plane-wave DFT calculation with GGA-PBE was carried out for SrPm2Hg7 after structural relaxation.

The space group is P3m1 (No. 156) and the conventional cell measures 5.1762, 5.1762 and 12.2662 Å, with angles of 90.00, 90.00 and 120.00 degrees. The distinct sites, in fractional coordinates, are Sr at (0.0000, 0.0000, 0.0000), Pm at (0.3333, 0.6667, 0.6523), Pm at (0.6667, 0.3333, 0.4390), Hg at (0.0000, 0.0000, 0.3007), Hg at (0.0000, 0.0000, 0.5652), Hg at (0.3333, 0.6667, 0.1401), Hg at (0.3333, 0.6667, 0.3865), Hg at (0.3333, 0.6667, 0.8938), Hg at (0.6667, 0.3333, 0.1663) and Hg at (0.6667, 0.3333, 0.7784).

Its magnetic moment is 0.00 μB per formula unit. The volume is 285 Å³ per cell. Its crystal system is trigonal. The formation energy from the elements comes out at -3.31 eV per formula unit.


A plane-wave DFT calculation with GGA-PBE was carried out for SrPmTlHg after structural relaxation.

The space group is F-43m (No. 216) and the conventional cell measures 7.884, 7.884 and 7.884 Å, with angles of 90.00, 90.00 and 90.00 degrees. The distinct sites, in fractional coordinates, are Sr at (0.000, 0.000, 0.000), Pm at (0.000, 0.000, 0.500), Tl at (0.250, 0.250, 0.750) and Hg at (0.250, 0.250, 0.250).

Its magnetic moment is 0.00 μB per formula unit. The volume is 490 Å³ per cell. Its crystal system is cubic. The formation energy from the elements comes out at -1.73 eV per formula unit.


A plane-wave DFT calculation with GGA-PBE was carried out for Tb2PmHg4 after structural relaxation.

The space group is R-3m (No. 166, hexagonal axes) and the conventional cell measures 5.1274, 5.1274 and 26.4344 Å, with angles of 90.00, 90.00 and 120.00 degrees. The distinct sites, in fractional coordinates, are Tb at (0.0000, 0.0000, 0.2429), Pm at (0.0000, 0.0000, 0.0000), Hg at (0.0000, 0.0000, 0.1268) and Hg at (0.0000, 0.0000, 0.3801).

Its magnetic moment is 0.00 μB per formula unit. The volume is 602 Å³ per cell. Its crystal system is trigonal. The formation energy from the elements comes out at -2.32 eV per formula unit.


A plane-wave DFT calculation with GGA-PBE was carried out for Tb2Pm3Hg4 after structural relaxation.

The space group is Cmce (No. 64) and the conventional cell measures 6.929, 18.887 and 8.085 Å, with angles of 90.00, 90.00 and 90.00 degrees. The distinct sites, in fractional coordinates, are Tb at (0.000, 0.094, 0.085), Pm at (0.000, 0.000, 0.500), Pm at (0.250, 0.239, 0.750), Hg at (0.000, 0.161, 0.462) and Hg at (0.250, 0.072, 0.750).

Its magnetic moment is 0.00 μB per formula unit. The volume is 1058 Å³ per cell. Its crystal system is orthorhombic. The formation energy from the elements comes out at -2.63 eV per formula unit.


A plane-wave DFT calculation with GGA-PBE was carried out for Tb4PmHg3 after structural relaxation.

The space group is R-3m (No. 166, hexagonal axes) and the conventional cell measures 5.2739, 5.2739 and 27.8984 Å, with angles of 90.00, 90.00 and 120.00 degrees. The distinct sites, in fractional coordinates, are Tb at (0.0000, 0.0000, 0.1088), Tb at (0.0000, 0.0000, 0.3695), Pm at (0.0000, 0.0000, 0.5000), Hg at (0.0000, 0.0000, 0.0000) and Hg at (0.0000, 0.0000, 0.2340).

Its magnetic moment is 0.63 μB per formula unit. The volume is 672 Å³ per cell. Its crystal system is trigonal. The formation energy from the elements comes out at -2.36 eV per formula unit.


A plane-wave DFT calculation with GGA-PBE was carried out for Tb4Pm3Hg after structural relaxation.

The space group is P4/mmm (No. 123) and the conventional cell measures 3.619, 3.619 and 19.207 Å, with angles of 90.00, 90.00 and 90.00 degrees. The distinct sites, in fractional coordinates, are Tb at (0.000, 0.000, 0.104), Tb at (0.000, 0.000, 0.368), Pm at (0.500, 0.500, 0.235), Pm at (0.500, 0.500, 0.500) and Hg at (0.500, 0.500, 0.000).

Its magnetic moment is 0.00 μB per formula unit. The volume is 252 Å³ per cell. Its crystal system is tetragonal. The formation energy from the elements comes out at -0.88 eV per formula unit.


A plane-wave DFT calculation with GGA-PBE was carried out for TbPmHg2 after structural relaxation.

The space group is Fm-3m (No. 225) and the conventional cell measures 7.553, 7.553 and 7.553 Å, with angles of 90.00, 90.00 and 90.00 degrees. The distinct sites, in fractional coordinates, are Tb at (0.000, 0.000, 0.000), Pm at (0.000, 0.000, 0.500) and Hg at (0.250, 0.250, 0.250).

Its magnetic moment is 0.72 μB per formula unit. The volume is 431 Å³ per cell. Its crystal system is cubic. The formation energy from the elements comes out at -1.90 eV per formula unit. The value obtained for the offset from the most stable computed form is 3 meV/atom.


A plane-wave DFT calculation with GGA-PBE was carried out for TbPmHg2 after structural relaxation.

The space group is R3m (No. 160, hexagonal axes) and the conventional cell measures 3.8408, 3.8408 and 27.4724 Å, with angles of 90.00, 90.00 and 120.00 degrees. The distinct sites, in fractional coordinates, are Tb at (0.0000, 0.0000, 0.0000), Pm at (0.0000, 0.0000, 0.1662), Hg at (0.0000, 0.0000, 0.5849) and Hg at (0.0000, 0.0000, 0.7480).

Its magnetic moment is 0.00 μB per formula unit. The volume is 351 Å³ per cell. Its crystal system is trigonal. The formation energy from the elements comes out at -1.30 eV per formula unit. The value obtained for the offset from the most stable computed form is 153 meV/atom.


A plane-wave DFT calculation with GGA-PBE was carried out for Tb3PmHg2 after structural relaxation.

The space group is Pmc2_1 (No. 26) and the conventional cell measures 5.141, 9.331 and 7.179 Å, with angles of 90.00, 90.00 and 90.00 degrees. The distinct sites, in fractional coordinates, are Tb at (0.000, 0.057, 0.000), Tb at (0.000, 0.323, 0.347), Tb at (0.500, 0.172, 0.684), Pm at (0.500, 0.443, 0.030), Hg at (0.000, 0.350, 0.774) and Hg at (0.500, 0.147, 0.256).

Its magnetic moment is 0.00 μB per formula unit. The volume is 344 Å³ per cell. Its crystal system is orthorhombic. The formation energy from the elements comes out at -2.10 eV per formula unit. The value obtained for the offset from the most stable computed form is 0 meV/atom.